A relaxed YHfGaRh crystal. Source: Alexandria, functional PBE-GGA.

The structure belongs to space group F-43m (No. 216); the cell edges are 6.817, 6.817 and 6.817 Å and the angles 90.00°, 90.00° and 90.00°. The asymmetric unit holds Y at (0.000, 0.000, 0.000), Hf at (0.000, 0.000, 0.500), Ga at (0.250, 0.250, 0.750) and Rh at (0.250, 0.250, 0.250).

The total magnetic moment comes out at 0.0 μB per cell. For the total energy, the calculation gives -115.9 eV/cell. The calculation puts the formation energy at -0.545 eV per atom.